The following is a DFT calculation (PBE) of a relaxed Tl2InCuF6 crystal.

```
data_Tl2InCuF6
_cell_length_a 5.9438
_cell_length_b 5.9438
_cell_length_c 14.5373
_cell_angle_alpha 90.00
_cell_angle_beta 90.00
_cell_angle_gamma 120.00
_space_group_name_H-M_alt 'R -3 m'
_space_group_IT_number 166
_space_group_name_Hall '-R 3 2"'
loop_
_atom_site_label
_atom_site_type_symbol
_atom_site_fract_x
_atom_site_fract_y
_atom_site_fract_z
Tl1 Tl 0.0000 0.0000 0.2500
In1 In 0.0000 0.0000 0.0000
Cu1 Cu 0.0000 0.0000 0.5000
F1 F 0.0013 0.5006 0.2499
```

Summary:
Electronic total energy = -4.124 eV per atom


The following is a DFT calculation (PBE) of a relaxed Cd2IrW crystal.

```
data_Cd2IrW
_cell_length_a 6.511
_cell_length_b 6.511
_cell_length_c 6.511
_cell_angle_alpha 90.00
_cell_angle_beta 90.00
_cell_angle_gamma 90.00
_space_group_name_H-M_alt 'F -4 3 m'
_space_group_IT_number 216
_space_group_name_Hall 'F -4 2 3'
loop_
_atom_site_label
_atom_site_type_symbol
_atom_site_fract_x
_atom_site_fract_y
_atom_site_fract_z
Cd1 Cd 0.000 0.000 0.000
Cd2 Cd 0.250 0.250 0.250
Ir1 Ir 0.250 0.250 0.750
W1 W 0.000 0.000 0.500
```

Summary:
Electronic total energy = -5.398 eV per atom
Formation enthalpy at 0 K = 194 kJ/mol of formula units


The following is a DFT calculation (PBE) of a relaxed YErTlPd2 crystal.

```
data_YErTlPd2
_cell_length_a 3.651
_cell_length_b 4.123
_cell_length_c 15.053
_cell_angle_alpha 90.00
_cell_angle_beta 90.00
_cell_angle_gamma 90.00
_space_group_name_H-M_alt 'A m m 2'
_space_group_IT_number 38
loop_
_space_group_symop_operation_xyz
'x,y,z'
'-x,-y,z'
'-x,y,z'
'x,-y,z'
'x,y+1/2,z+1/2'
'-x,-y+1/2,z+1/2'
'-x,y+1/2,z+1/2'
'x,-y+1/2,z+1/2'
loop_
_atom_site_label
_atom_site_type_symbol
_atom_site_fract_x
_atom_site_fract_y
_atom_site_fract_z
Y1 Y 0.000 0.000 0.000
Er1 Er 0.000 0.000 0.731
Tl1 Tl 0.500 0.000 0.367
Pd1 Pd 0.500 0.000 0.178
Pd2 Pd 0.500 0.000 0.559
```

Summary:
Electronic total energy = -5.520 eV per atom


The following is a DFT calculation (PBE) of a relaxed AcWI crystal.

```
data_AcWI
_cell_length_a 4.037
_cell_length_b 4.037
_cell_length_c 5.674
_cell_angle_alpha 90.00
_cell_angle_beta 90.00
_cell_angle_gamma 90.00
_space_group_name_H-M_alt 'P 4/m m m'
_space_group_IT_number 123
_space_group_name_Hall '-P 4 2'
loop_
_atom_site_label
_atom_site_type_symbol
_atom_site_fract_x
_atom_site_fract_y
_atom_site_fract_z
Ac1 Ac 0.000 0.000 0.000
W1 W 0.000 0.000 0.500
I1 I 0.500 0.500 0.500
```

Summary:
Electronic total energy = -4.865 eV per atom


The following is a DFT calculation (PBE) of a relaxed KFeAuSe2S crystal.

```
data_KFeAuSe2S
_cell_length_a 3.665
_cell_length_b 14.539
_cell_length_c 10.746
_cell_angle_alpha 90.00
_cell_angle_beta 90.00
_cell_angle_gamma 90.00
_space_group_name_H-M_alt 'C m c m'
_space_group_IT_number 63
_space_group_name_Hall '-C 2c 2'
loop_
_atom_site_label
_atom_site_type_symbol
_atom_site_fract_x
_atom_site_fract_y
_atom_site_fract_z
K1 K 0.000 0.250 0.250
Fe1 Fe 0.000 0.000 0.000
Au1 Au 0.000 0.460 0.750
Se1 Se 0.000 0.386 0.532
S1 S 0.000 0.072 0.750
```

Summary:
Electronic total energy = -4.211 eV per atom


The following is a DFT calculation (PBE) of a relaxed TeAsPdO crystal.

```
data_TeAsPdO
_cell_length_a 3.802
_cell_length_b 5.814
_cell_length_c 7.110
_cell_angle_alpha 90.00
_cell_angle_beta 90.00
_cell_angle_gamma 90.00
_space_group_name_H-M_alt 'P m c 21'
_space_group_IT_number 26
loop_
_space_group_symop_operation_xyz
'x,y,z'
'-x,-y,z+1/2'
'-x,y,z'
'x,-y,z+1/2'
loop_
_atom_site_label
_atom_site_type_symbol
_atom_site_fract_x
_atom_site_fract_y
_atom_site_fract_z
Te1 Te 0.000 0.060 0.000
As1 As 0.500 0.354 0.839
Pd1 Pd 0.500 0.281 0.509
O1 O 0.000 0.203 0.255
```

Summary:
Electronic total energy = -4.688 eV per atom


The following is a DFT calculation (PBE) of a relaxed HoSiHO4 crystal.

```
data_HoSiHO4
_cell_length_a 7.647
_cell_length_b 8.933
_cell_length_c 17.260
_cell_angle_alpha 90.00
_cell_angle_beta 90.00
_cell_angle_gamma 90.00
_space_group_name_H-M_alt 'P b c a'
_space_group_IT_number 61
loop_
_space_group_symop_operation_xyz
'x,y,z'
'-x,-y,-z'
'-x+1/2,-y,z+1/2'
'x+1/2,y,-z+1/2'
'x+1/2,-y+1/2,-z'
'-x+1/2,y+1/2,z'
'-x,y+1/2,-z+1/2'
'x,-y+1/2,z+1/2'
loop_
_atom_site_label
_atom_site_type_symbol
_atom_site_fract_x
_atom_site_fract_y
_atom_site_fract_z
Ho1 Ho 0.109 0.164 0.125
Ho2 Ho 0.138 0.188 0.881
Si1 Si 0.013 0.019 0.296
Si2 Si 0.243 0.572 0.505
H1 H 0.062 0.635 0.989
H2 H 0.209 0.594 0.282
O1 O 0.066 0.007 0.791
O2 O 0.078 0.638 0.833
O3 O 0.079 0.172 0.518
O4 O 0.102 0.625 0.147
O5 O 0.118 0.586 0.580
O6 O 0.166 0.623 0.421
O7 O 0.170 0.147 0.273
O8 O 0.223 0.607 0.996
```

Summary:
Electronic total energy = -7.441 eV per atom


The following is a DFT calculation (PBE) of a relaxed Na2FeCoAs2 crystal.

```
data_Na2FeCoAs2
_cell_length_a 3.925
_cell_length_b 3.925
_cell_length_c 6.728
_cell_angle_alpha 90.00
_cell_angle_beta 90.00
_cell_angle_gamma 90.00
_space_group_name_H-M_alt 'P -4 m 2'
_space_group_IT_number 115
loop_
_space_group_symop_operation_xyz
'x,y,z'
'y,-x,-z'
'-x,-y,z'
'-y,x,-z'
'-x,y,z'
'-y,-x,-z'
'x,-y,z'
'y,x,-z'
loop_
_atom_site_label
_atom_site_type_symbol
_atom_site_fract_x
_atom_site_fract_y
_atom_site_fract_z
Na1 Na 0.000 0.500 0.155
Fe1 Fe 0.000 0.000 0.500
Co1 Co 0.500 0.500 0.500
As1 As 0.000 0.500 0.692
```

Summary:
Electronic total energy = -4.889 eV per atom


The following is a DFT calculation (PBE) of a relaxed DyY2Er2Tm2Ni2Te2 crystal.

```
data_DyY2Er2Tm2Ni2Te2
_cell_length_a 3.844
_cell_length_b 15.543
_cell_length_c 9.526
_cell_angle_alpha 90.00
_cell_angle_beta 90.00
_cell_angle_gamma 90.00
_space_group_name_H-M_alt 'I m m 2'
_space_group_IT_number 44
loop_
_space_group_symop_operation_xyz
'x,y,z'
'-x,-y,z'
'-x,y,z'
'x,-y,z'
'x+1/2,y+1/2,z+1/2'
'-x+1/2,-y+1/2,z+1/2'
'-x+1/2,y+1/2,z+1/2'
'x+1/2,-y+1/2,z+1/2'
loop_
_atom_site_label
_atom_site_type_symbol
_atom_site_fract_x
_atom_site_fract_y
_atom_site_fract_z
Dy1 Dy 0.000 0.000 0.000
Y1 Y 0.000 0.353 0.268
Er1 Er 0.000 0.133 0.417
Tm1 Tm 0.000 0.315 0.619
Ni1 Ni 0.000 0.239 0.929
Te1 Te 0.000 0.000 0.663
Te2 Te 0.000 0.500 0.764
```

Summary:
Electronic total energy = -5.508 eV per atom


The following is a DFT calculation (PBE) of a relaxed LuNiAu crystal.

```
data_LuNiAu
_cell_length_a 6.341
_cell_length_b 6.341
_cell_length_c 6.341
_cell_angle_alpha 90.00
_cell_angle_beta 90.00
_cell_angle_gamma 90.00
_space_group_name_H-M_alt 'F -4 3 m'
_space_group_IT_number 216
_space_group_name_Hall 'F -4 2 3'
loop_
_atom_site_label
_atom_site_type_symbol
_atom_site_fract_x
_atom_site_fract_y
_atom_site_fract_z
Lu1 Lu 0.000 0.000 0.000
Ni1 Ni 0.000 0.000 0.500
Au1 Au 0.250 0.250 0.250
```

Summary:
Electronic total energy = -4.754 eV per atom
Formation enthalpy at 0 K = -87 kJ/mol of formula units


The following is a DFT calculation (PBE) of a relaxed Li2MgCd crystal.

```
data_Li2MgCd
_cell_length_a 3.355
_cell_length_b 3.355
_cell_length_c 6.548
_cell_angle_alpha 90.00
_cell_angle_beta 90.00
_cell_angle_gamma 90.00
_space_group_name_H-M_alt 'P 4/m m m'
_space_group_IT_number 123
_space_group_name_Hall '-P 4 2'
loop_
_atom_site_label
_atom_site_type_symbol
_atom_site_fract_x
_atom_site_fract_y
_atom_site_fract_z
Li1 Li 0.000 0.000 0.233
Mg1 Mg 0.500 0.500 0.500
Cd1 Cd 0.500 0.500 0.000
```

Summary:
Electronic total energy = -1.732 eV per atom


The following is a DFT calculation (PBE) of a relaxed GdZrHg2Au4 crystal.

```
data_GdZrHg2Au4
_cell_length_a 4.887
_cell_length_b 4.887
_cell_length_c 6.853
_cell_angle_alpha 90.00
_cell_angle_beta 90.00
_cell_angle_gamma 90.00
_space_group_name_H-M_alt 'P 4/m m m'
_space_group_IT_number 123
_space_group_name_Hall '-P 4 2'
loop_
_atom_site_label
_atom_site_type_symbol
_atom_site_fract_x
_atom_site_fract_y
_atom_site_fract_z
Gd1 Gd 0.000 0.000 0.000
Zr1 Zr 0.500 0.500 0.500
Hg1 Hg 0.000 0.000 0.500
Hg2 Hg 0.500 0.500 0.000
Au1 Au 0.000 0.500 0.263
```

Summary:
Electronic total energy = -3.824 eV per atom
Formation enthalpy at 0 K = -360 kJ/mol of formula units


Repeat the eighth record exactly.
The following is a DFT calculation (PBE) of a relaxed Na2FeCoAs2 crystal.

```
data_Na2FeCoAs2
_cell_length_a 3.925
_cell_length_b 3.925
_cell_length_c 6.728
_cell_angle_alpha 90.00
_cell_angle_beta 90.00
_cell_angle_gamma 90.00
_space_group_name_H-M_alt 'P -4 m 2'
_space_group_IT_number 115
loop_
_space_group_symop_operation_xyz
'x,y,z'
'y,-x,-z'
'-x,-y,z'
'-y,x,-z'
'-x,y,z'
'-y,-x,-z'
'x,-y,z'
'y,x,-z'
loop_
_atom_site_label
_atom_site_type_symbol
_atom_site_fract_x
_atom_site_fract_y
_atom_site_fract_z
Na1 Na 0.000 0.500 0.155
Fe1 Fe 0.000 0.000 0.500
Co1 Co 0.500 0.500 0.500
As1 As 0.000 0.500 0.692
```

Summary:
Electronic total energy = -4.889 eV per atom